Entry 1:
Below is a geometry-optimized Tb3Ho6Sc structure, with properties calculated at the PBE level.

The density of states at the Fermi level comes out at 58.9 states/eV per cell. For the energy above the most stable polymorph in this dataset, the calculation gives 0 meV/atom. The calculation puts the uncorrected energy at -184.98 eV per cell. The density comes out at 8.0 g cm⁻³. For the formation energy, the calculation gives 0.14 eV per atom.

a = 10.8399 Å, b = 18.7765 Å, c = 6.1386 Å
α = 90.00°, β = 90.00°, γ = 90.00°
Closest atoms and distances in Å follow each position.
Space group Cmc2_1 (No. 36)
Inequivalent atoms, fractional coordinates:
Tb 0.0000 0.1113 0.0000 x4  7 Ho 3.34-3.71, 1 Sc 3.46, 2 Tb 3.68
Tb 0.1662 0.3889 0.6129 x8  1 Sc 3.21, 6 Ho 3.25-3.58
Ho 0.0000 0.2212 0.4284 x4  4 Ho 3.17-3.33, 2 Sc 3.32-3.40, 1 Tb 3.34
Ho 0.0000 0.4519 0.1471 x4  1 Sc 3.24, 4 Tb 3.50-3.58, 2 Ho 3.56
Ho 0.1647 0.0463 0.5289 x8  4 Tb 3.37-3.61, 5 Ho 3.38-3.71
Ho 0.2454 0.2103 0.7076 x8  5 Ho 3.17-3.41, 2 Sc 3.23-3.39, 2 Tb 3.25-3.51
Sc 0.0000 0.2941 0.9350 x4  3 Tb 3.21-3.46, 7 Ho 3.23-3.40

***

Entry 2:
Below is a geometry-optimized Tb3Ho7Sc structure, with properties calculated at the PBE level.

The density of states at the Fermi level comes out at 16.2 states/eV per cell. For the energy above the most stable polymorph in this dataset, the calculation gives 0 meV/atom. The calculation puts the uncorrected energy at -50.56 eV per cell. The density comes out at 8.0 g cm⁻³. For the formation energy, the calculation gives 0.16 eV per atom.

a = 6.7366 Å, b = 5.4102 Å, c = 9.8066 Å
α = 90.00°, β = 104.12°, γ = 90.00°
Closest atoms and distances in Å follow each position.
Space group P2/m (No. 10)
Inequivalent atoms, fractional coordinates:
Tb 0.0000 0.0000 0.0000 x1  2 Sc 3.37, 8 Ho 3.47-3.77
Tb 0.2689 0.5000 0.4785 x2  1 Tb 3.04, 4 Ho 3.24-3.39
Ho 0.0000 0.0000 0.5000 x1  4 Tb 3.29, 2 Ho 3.60
Ho 0.1652 0.5000 0.7843 x2  3 Ho 3.23-3.57, 2 Tb 3.24-3.39
Ho 0.3147 0.5000 0.1228 x2  5 Ho 3.23-3.57, 2 Sc 3.33, 3 Tb 3.47-3.58
Ho 0.4632 0.0000 0.3264 x2  1 Sc 3.27, 4 Ho 3.32-3.60, 4 Tb 3.49-3.54
Sc 0.5000 0.0000 0.0000 x1  6 Ho 3.27-3.33, 2 Tb 3.37

***

Entry 3:
Below is a geometry-optimized Tb4Ho6Sc structure, with properties calculated at the PBE level.

The density of states at the Fermi level comes out at 26.1 states/eV per cell. For the energy above the most stable polymorph in this dataset, the calculation gives 156 meV/atom. The calculation puts the uncorrected energy at -98.19 eV per cell. The density comes out at 7.8 g cm⁻³. For the formation energy, the calculation gives 0.29 eV per atom.

a = 6.4685 Å, b = 6.4685 Å, c = 16.9653 Å
α = 90.00°, β = 90.00°, γ = 90.00°
Closest atoms and distances in Å follow each position.
Space group I-42m (No. 121)
Inequivalent atoms, fractional coordinates:
Tb 0.1792 0.1792 0.3663 x8  1 Tb 3.28, 7 Ho 3.29-3.44
Ho 0.0000 0.5000 0.0000 x4  2 Sc 3.23, 4 Tb 3.29
Ho 0.1850 0.1850 0.1700 x8  5 Tb 3.33-3.44, 1 Sc 3.34, 3 Ho 3.38-3.73
Sc 0.0000 0.0000 0.0000 x2  8 Ho 3.23-3.34

***

Entry 4:
Below is a geometry-optimized Tb19Ho4Sc6 structure, with properties calculated at the PBE level.

The density of states at the Fermi level comes out at 87.0 states/eV per cell. The calculation puts the uncorrected energy at -265.82 eV per cell. The density comes out at 7.1 g cm⁻³. For the formation energy, the calculation gives 0.39 eV per atom.

a = 12.2790 Å, b = 12.2790 Å, c = 12.2790 Å
α = 90.00°, β = 90.00°, γ = 90.00°
Closest atoms and distances in Å follow each position.
Space group I23 (No. 197)
Inequivalent atoms, fractional coordinates:
Tb 0.0000 0.0000 0.0000 x2  6 Tb 3.25
Tb 0.0000 0.0000 0.2648 x12  2 Sc 3.22, 5 Tb 3.25-3.54, 2 Ho 3.28
Tb 0.0580 0.2824 0.7261 x24  1 Sc 3.08, 2 Ho 3.31-3.38, 1 Tb 3.44
Ho 0.1792 0.1792 0.1792 x8  9 Tb 3.28-3.38
Sc 0.0000 0.1162 0.5000 x12  1 Sc 2.85, 2 Tb 3.08

***

Entry 5:
Below is a geometry-optimized TbHo12Sc6 structure, with properties calculated at the PBE level.

The density of states at the Fermi level comes out at 81.1 states/eV per cell. For the energy above the most stable polymorph in this dataset, the calculation gives 194 meV/atom. The calculation puts the uncorrected energy at -267.83 eV per cell. The density comes out at 6.7 g cm⁻³. For the formation energy, the calculation gives 0.44 eV per atom.

a = 14.5390 Å, b = 14.5390 Å, c = 9.8149 Å
α = 90.00°, β = 90.00°, γ = 120.00°
Closest atoms and distances in Å follow each position.
Space group R-3m (No. 166, hexagonal axes)
Inequivalent atoms, fractional coordinates:
Tb 0.0000 0.0000 0.0000 x3  6 Ho 3.47
Ho 0.0000 0.3879 0.5000 x18  4 Sc 3.19-3.30, 5 Ho 3.26-3.55
Ho 0.0748 0.1495 0.2974 x18  1 Sc 2.95, 2 Ho 3.26
Sc 0.0572 0.5286 0.2174 x18  5 Ho 2.95-3.30

***

Entry 6:
Below is a geometry-optimized Tb2Ho15Sc2 structure, with properties calculated at the PBE level.

The density of states at the Fermi level comes out at 102.4 states/eV per cell. The calculation puts the uncorrected energy at -255.14 eV per cell. The density comes out at 7.9 g cm⁻³. For the formation energy, the calculation gives 0.29 eV per atom.

a = 11.0189 Å, b = 11.0189 Å, c = 17.3736 Å
α = 90.00°, β = 90.00°, γ = 120.00°
Closest atoms and distances in Å follow each position.
Space group R-3m (No. 166, hexagonal axes)
Inequivalent atoms, fractional coordinates:
Tb 0.0000 0.0000 0.1792 x6  15 Ho 3.91-4.16, 1 Sc 3.99
Ho 0.0000 0.2949 0.5000 x18  6 Ho 3.25-3.34, 2 Sc 3.61
Ho 0.0000 0.5000 0.0000 x9  8 Ho 3.26-3.34, 2 Sc 3.44
Ho 0.0085 0.5042 0.6370 x18  6 Ho 3.26-3.28
Sc 0.0000 0.0000 0.4091 x6  1 Sc 3.16, 3 Ho 3.44